Material: MoSN2F
Method: DFT, PBE with a Hubbard U
State: optimized geometry

The structure in extended XYZ format:
```
5
Lattice="4.0630 0.0000 0.0000 0.0000 4.0630 0.0000 0.0000 0.0000 4.1204" Properties=species:S:1:pos:R:3 pbc="T T T"
Mo 0.0000 0.0000 0.0000
N 0.0000 2.0315 0.0000
N 2.0315 0.0000 0.0000
S 2.0315 2.0315 2.0602
F 0.0000 0.0000 2.0602
```

Values from the calculation:
- Uncorrected energy: -5.373 eV per atom
- Volume: 68.0 Å³ per cell
- Distance to the lowest polymorph of the same formula: 0.0000 eV per atom